--- w ---
Compound: CsY3Co
Source: the Alexandria database
Functional: PBE-GGA
Structure: optimized geometry

Cell lengths 5.4886, 5.4886, 5.4886 Å; angles 90.00, 90.00, 90.00 degrees
Space group Pm-3m (No. 221)
Symmetry-distinct sites (fractional):
Cs: 0.0000 0.0000 0.0000 x1
Y: 0.0000 0.5000 0.5000 x3
Co: 0.5000 0.5000 0.5000 x1

--- x ---
Compound: CsY3Co
Source: the Alexandria database
Functional: PBE-GGA
Structure: optimized geometry

Cell lengths 5.5143, 5.5143, 5.5143 Å; angles 90.00, 90.00, 90.00 degrees
Space group Pm-3m (No. 221)
Symmetry-distinct sites (fractional):
Cs: 0.0000 0.0000 0.0000 x1
Y: 0.0000 0.0000 0.5000 x3
Co: 0.5000 0.5000 0.5000 x1

Of them, the most stable is w and the least stable is x.

--- w ---
Compound: CoCu4
Source: the Alexandria database
Functional: PBE-GGA
Structure: optimized geometry

Cell lengths 3.3027, 3.3027, 12.0758 Å; angles 90.00, 90.00, 90.00 degrees
Space group I4/mmm (No. 139)
Symmetry-distinct sites (fractional):
Co: 0.0000 0.0000 0.0000 x2
Cu: 0.0000 0.0000 0.4032 x4
Cu: 0.0000 0.5000 0.2500 x4

--- x ---
Compound: CoCu4
Source: the Alexandria database
Functional: PBE-GGA
Structure: optimized geometry

Cell lengths 4.3595, 4.3595, 4.3595 Å; angles 90.00, 90.00, 90.00 degrees
Space group Pm-3m (No. 221)
Symmetry-distinct sites (fractional):
Co: 0.0000 0.0000 0.0000 x1
Cu: 0.0000 0.0000 0.5000 x3
Cu: 0.5000 0.5000 0.5000 x1

Of them, the most stable is w and the least stable is x.

--- w ---
Compound: Co5Cu3
Source: the Alexandria database
Functional: PBE-GGA
Structure: optimized geometry

Cell lengths 7.0052, 7.0052, 4.4539 Å; angles 90.00, 90.00, 120.00 degrees
Space group P6_3/mcm (No. 193)
Symmetry-distinct sites (fractional):
Co: 0.0000 0.2095 0.2500 x6
Co: 0.3333 0.6667 0.0000 x4
Cu: 0.0000 0.4040 0.7500 x6

--- x ---
Compound: Co5Cu3
Source: the Alexandria database
Functional: PBE-GGA
Structure: optimized geometry

Cell lengths 4.5070, 12.8150, 6.7361 Å; angles 90.00, 106.49, 90.00 degrees
Space group C2/m (No. 12)
Symmetry-distinct sites (fractional):
Co: 0.0853 0.1610 0.1864 x8
Co: 0.1112 0.4059 0.3281 x8
Co: 0.2490 0.5000 0.9971 x4
Cu: 0.0000 0.2360 0.5000 x4
Cu: 0.0000 0.3222 0.0000 x4
Cu: 0.1255 0.0000 0.3585 x4

Of them, the most stable is x and the least stable is w.

--- w ---
Compound: Co4Cu3
Source: the Alexandria database
Functional: PBE-GGA
Structure: optimized geometry

Cell lengths 4.5894, 4.5894, 4.5173 Å; angles 90.00, 90.00, 120.00 degrees
Space group P6/mmm (No. 191)
Symmetry-distinct sites (fractional):
Co: 0.0000 0.0000 0.2408 x2
Co: 0.3333 0.6667 0.0000 x2
Cu: 0.0000 0.5000 0.5000 x3

--- x ---
Compound: Co4Cu3
Source: the Alexandria database
Functional: PBE-GGA
Structure: optimized geometry

Cell lengths 2.5419, 2.5419, 24.6643 Å; angles 90.00, 90.00, 90.00 degrees
Space group I4/mmm (No. 139)
Symmetry-distinct sites (fractional):
Co: 0.0000 0.0000 0.0738 x4
Co: 0.0000 0.0000 0.3615 x4
Cu: 0.0000 0.0000 0.2128 x4
Cu: 0.0000 0.0000 0.5000 x2

Of them, the most stable is x and the least stable is w.